Entry 1:
DFT (GGA-PBE) results for a relaxed structure of AlMoCl2.

Cell and atoms, written as CIF:
```
data_AlMoCl2
_symmetry_space_group_name_H-M 'C 1 2/m 1'
_symmetry_Int_Tables_number 12
_cell_length_a 14.2143
_cell_length_b 2.9728
_cell_length_c 4.6691
_cell_angle_alpha 90.00
_cell_angle_beta 98.80
_cell_angle_gamma 90.00
loop_
_symmetry_equiv_pos_as_xyz
'x,y,z'
'-x,-y,-z'
'-x,y,-z'
'x,-y,z'
'x+1/2,y+1/2,z'
'-x+1/2,-y+1/2,-z'
'-x+1/2,y+1/2,-z'
'x+1/2,-y+1/2,z'
loop_
_atom_site_label
_atom_site_type_symbol
_atom_site_fract_x
_atom_site_fract_y
_atom_site_fract_z
_atom_site_occupancy
Al1 Al 0.0000 0.0000 0.0000 1
Mo1 Mo 0.0000 0.5000 0.5000 1
Cl1 Cl 0.1373 0.0000 0.6977 1
```

Entry 2:
DFT (GGA-PBE) results for a relaxed structure of AlMoCl2.

Cell and atoms, written as CIF:
```
data_AlMoCl2
_symmetry_space_group_name_H-M 'P 4/m m m'
_symmetry_Int_Tables_number 123
_symmetry_space_group_name_Hall '-P 4 2'
_cell_length_a 3.0236
_cell_length_b 3.0236
_cell_length_c 10.1676
_cell_angle_alpha 90.00
_cell_angle_beta 90.00
_cell_angle_gamma 90.00
loop_
_atom_site_label
_atom_site_type_symbol
_atom_site_fract_x
_atom_site_fract_y
_atom_site_fract_z
_atom_site_occupancy
Al1 Al 0.0000 0.0000 0.0000 1
Mo1 Mo 0.0000 0.0000 0.5000 1
Cl1 Cl 0.5000 0.5000 0.3526 1
```

Entry 3:
DFT (GGA-PBE) results for a relaxed structure of AlMoCl2.

Cell and atoms, written as CIF:
```
data_AlMoCl2
_symmetry_space_group_name_H-M 'R -3 m'
_symmetry_Int_Tables_number 166
_symmetry_space_group_name_Hall '-R 3 2"'
_cell_length_a 3.0350
_cell_length_b 3.0350
_cell_length_c 28.1985
_cell_angle_alpha 90.00
_cell_angle_beta 90.00
_cell_angle_gamma 120.00
loop_
_atom_site_label
_atom_site_type_symbol
_atom_site_fract_x
_atom_site_fract_y
_atom_site_fract_z
_atom_site_occupancy
Al1 Al 0.0000 0.0000 0.0000 1
Mo1 Mo 0.0000 0.0000 0.5000 1
Cl1 Cl 0.0000 0.0000 0.4182 1
```

Entry 4:
DFT (GGA-PBE) results for a relaxed structure of AlMoPCl2.

Cell and atoms, written as CIF:
```
data_AlMoPCl2
_symmetry_space_group_name_H-M 'P 4/m m m'
_symmetry_Int_Tables_number 123
_symmetry_space_group_name_Hall '-P 4 2'
_cell_length_a 4.9981
_cell_length_b 4.9981
_cell_length_c 4.7178
_cell_angle_alpha 90.00
_cell_angle_beta 90.00
_cell_angle_gamma 90.00
loop_
_atom_site_label
_atom_site_type_symbol
_atom_site_fract_x
_atom_site_fract_y
_atom_site_fract_z
_atom_site_occupancy
Al1 Al 0.0000 0.0000 0.0000 1
Mo1 Mo 0.5000 0.5000 0.5000 1
P1 P 0.5000 0.5000 0.0000 1
Cl1 Cl 0.0000 0.5000 0.5000 1
```

Number 1: formation energy from raw total energies -91 kJ/mol of formula units, E above lowest polymorph 164 meV/atom. Number 2: formation energy from raw total energies 116 kJ/mol of formula units, E above lowest polymorph 700 meV/atom. Number 3: formation energy from raw total energies 24 kJ/mol of formula units, E above lowest polymorph 461 meV/atom. Number 4: formation energy from raw total energies 49 kJ/mol of formula units, E above lowest polymorph 0 meV/atom.